Record 1
Compound: Al2TcCl
Source: the Alexandria database
Functional: PBE
Structure: optimized geometry

abc: 4.900 4.900 4.900
angles: 132.43 132.43 69.54
Sites, in units of the cell vectors:
Al  0.000  0.000  0.000
Al  0.500  0.500  0.000
Tc  0.750  0.250  0.500
Cl  0.250  0.750  0.500

Summary:
Raw formation energy in kJ per mole of atoms: 31.0
Density of states at the Fermi level in states/eV/f.u.: 3.07

Record 2
Compound: TbHo7Er4
Source: the Alexandria database
Functional: PBE
Structure: optimized geometry

abc: 5.800 11.434 6.630
angles: 83.45 64.06 75.31
Sites, in units of the cell vectors:
Tb  0.000  0.000  0.000
Ho  0.788  0.923  0.500
Ho  0.212  0.077  0.500
Ho  0.060  0.676  0.203
Ho  0.940  0.324  0.797
Ho  0.366  0.502  0.767
Ho  0.500  0.000  0.000
Ho  0.634  0.498  0.233
Er  0.635  0.225  0.504
Er  0.365  0.775  0.496
Er  0.752  0.683  0.812
Er  0.248  0.317  0.188

Summary:
Density of states at the Fermi level in states/eV/f.u.: 20.13
Total DFT energy (no corrections) in eV per atom: -4.282

Record 3
Compound: Pm4Pr5Mg2
Source: the Alexandria database
Functional: PBE
Structure: optimized geometry

abc: 3.599 8.975 14.302
angles: 125.72 97.23 90.00
Sites, in units of the cell vectors:
Pm  0.711  0.602  0.422
Pm  0.928  0.569  0.856
Pm  0.289  0.398  0.578
Pm  0.072  0.431  0.144
Pr  0.183  0.896  0.366
Pr  0.817  0.104  0.634
Pr  0.131  0.162  0.262
Pr  0.500  0.000  0.000
Pr  0.869  0.838  0.738
Mg  0.554  0.732  0.108
Mg  0.446  0.268  0.892

Summary:
Density of states at the Fermi level in states/eV/f.u.: 15.75
Total DFT energy (no corrections) in eV per atom: -4.139

Record 4
Compound: Cu2MoRh
Source: the Alexandria database
Functional: PBE
Structure: optimized geometry

abc: 4.613 4.613 4.615
angles: 79.49 79.49 34.48
Sites, in units of the cell vectors:
Cu  0.001  0.001  0.978
Cu  0.745  0.745  0.771
Mo  0.499  0.499  0.484
Rh  0.254  0.254  0.267

Summary:
Density of states at the Fermi level in states/eV/f.u.: 3.34
Total DFT energy (no corrections) in eV per atom: -6.512

Record 5
Compound: LaMnW2
Source: the Alexandria database
Functional: PBE
Structure: optimized geometry

abc: 4.580 4.580 4.580
angles: 60.00 60.00 60.00
Sites, in units of the cell vectors:
Mn  0.000  0.000  0.000
W  0.250  0.250  0.250
W  0.750  0.750  0.750
La  0.500  0.500  0.500

Summary:
Density of states at the Fermi level in states/eV/f.u.: 3.23
Total DFT energy (no corrections) in eV per atom: -9.148

Record 6
Compound: MnAsPBr2
Source: the Alexandria database
Functional: PBE
Structure: optimized geometry

abc: 5.010 5.010 5.038
angles: 90.00 90.00 90.00
Sites, in units of the cell vectors:
P  0.000  0.000  0.000
As  0.000  0.000  0.500
Mn  0.500  0.500  0.500
Br  0.000  0.500  0.000
Br  0.500  0.000  0.000

Summary:
Raw formation energy in kJ per mole of atoms: 57.1
Density of states at the Fermi level in states/eV/f.u.: 2.40

Record 7
Compound: LaTeMo2
Source: the Alexandria database
Functional: PBE
Structure: optimized geometry

abc: 4.324 4.324 10.427
angles: 78.03 78.03 90.00
Sites, in units of the cell vectors:
Mo  0.678  0.125  0.250
Mo  0.072  0.625  0.250
Mo  0.375  0.322  0.750
Mo  0.875  0.928  0.750
Te  0.500  0.500  0.000
Te  0.250  0.750  0.500
La  0.000  0.000  0.000
La  0.750  0.250  0.500

Summary:
Raw formation energy in kJ per mole of atoms: 57.9
Density of states at the Fermi level in states/eV/f.u.: 5.31

Record 8
Compound: Ga12Hg3I5
Source: the Alexandria database
Functional: PBE
Structure: optimized geometry

abc: 15.315 15.315 15.315
angles: 109.47 109.47 109.47
Sites, in units of the cell vectors:
Hg  0.750  0.375  0.125
Hg  0.875  0.750  0.125
Hg  0.375  0.750  0.625
Hg  0.250  0.125  0.375
Hg  0.875  0.125  0.250
Hg  0.375  0.625  0.250
Hg  0.625  0.375  0.750
Hg  0.125  0.875  0.750
Hg  0.750  0.875  0.625
Hg  0.625  0.250  0.375
Hg  0.125  0.250  0.875
Hg  0.250  0.625  0.875
I  0.125  0.375  0.250
I  0.000  0.500  0.000
I  0.000  0.000  0.000
I  0.375  0.250  0.125
I  0.500  0.000  0.500
I  0.500  0.500  0.000
I  0.125  0.750  0.375
I  0.750  0.125  0.875
I  0.750  0.625  0.375
I  0.375  0.125  0.750
I  0.625  0.875  0.250
I  0.500  0.500  0.500
I  0.500  0.000  0.000
I  0.000  0.000  0.500
I  0.250  0.375  0.625
I  0.250  0.875  0.125
I  0.000  0.500  0.500
I  0.875  0.250  0.625
I  0.625  0.750  0.875
I  0.875  0.625  0.750
Ga  0.734  0.173  0.086
Ga  0.352  0.586  0.413
Ga  0.914  0.327  0.266
Ga  0.586  0.234  0.173
Ga  0.562  0.734  0.648
Ga  0.914  0.587  0.148
Ga  0.352  0.766  0.438
Ga  0.087  0.938  0.173
Ga  0.587  0.914  0.648
Ga  0.734  0.562  0.148
Ga  0.766  0.414  0.327
Ga  0.852  0.913  0.086
Ga  0.173  0.734  0.586
Ga  0.327  0.413  0.062
Ga  0.062  0.913  0.327
Ga  0.438  0.173  0.587
Ga  0.062  0.148  0.234
Ga  0.414  0.648  0.087
Ga  0.852  0.938  0.266
Ga  0.173  0.438  0.087
Ga  0.327  0.914  0.766
Ga  0.587  0.673  0.438
Ga  0.913  0.852  0.586
Ga  0.766  0.352  0.938
Ga  0.413  0.327  0.562
Ga  0.087  0.148  0.414
Ga  0.234  0.648  0.062
Ga  0.148  0.062  0.734
Ga  0.673  0.086  0.234
Ga  0.827  0.562  0.913
Ga  0.586  0.352  0.913
Ga  0.562  0.827  0.413
Ga  0.938  0.852  0.766
Ga  0.938  0.087  0.673
Ga  0.827  0.266  0.414
Ga  0.148  0.087  0.914
Ga  0.673  0.587  0.938
Ga  0.413  0.086  0.352
Ga  0.266  0.438  0.852
Ga  0.234  0.586  0.673
Ga  0.913  0.062  0.827
Ga  0.648  0.234  0.562
Ga  0.414  0.766  0.827
Ga  0.086  0.413  0.852
Ga  0.438  0.266  0.352
Ga  0.086  0.673  0.734
Ga  0.648  0.414  0.587
Ga  0.266  0.827  0.914

Summary:
Raw formation energy in kJ per mole of atoms: 11.5
Density of states at the Fermi level in states/eV/f.u.: 14.86

density of states at the Fermi level of number 6 (MnAsPBr2)?
2.40 states/eV/f.u.

Which value of density of states at the Fermi level does entry 7 give?
5.31 states/eV/f.u.